(1)
Compound: LiVTeW2O12
Source: Alexandria
Functional: PBEsol
Structure: optimized geometry

CIF file:
```
data_LiVTeW2O12
_cell_length_a 5.072
_cell_length_b 5.271
_cell_length_c 7.371
_cell_angle_alpha 87.01
_cell_angle_beta 89.80
_cell_angle_gamma 89.54
_space_group_name_H-M_alt 'P 1'
_space_group_IT_number 1
_space_group_name_Hall 'P 1'
loop_
_atom_site_label
_atom_site_fract_x
_atom_site_fract_y
_atom_site_fract_z
Li1 0.000 0.000 0.000
V1 0.000 0.564 0.810
Te1 0.493 0.029 0.273
W1 0.000 0.525 0.306
W2 0.498 0.064 0.765
O1 0.098 0.532 0.534
O2 0.183 0.838 0.216
O3 0.195 0.231 0.833
O4 0.274 0.743 0.833
O5 0.296 0.334 0.220
O6 0.386 0.030 0.523
O7 0.618 0.027 0.029
O8 0.691 0.726 0.334
O9 0.708 0.329 0.730
O10 0.784 0.820 0.742
O11 0.799 0.226 0.333
O12 0.902 0.533 0.030
```

Properties
crystal system = triclinic
E_tot = -8.08 eV/atom
DOS at the Fermi energy = 0.00 states/eV/cell
spin magnetization = 0.00 μB per formula unit

---

(2)
Compound: P2IrSe
Source: Alexandria
Functional: PBEsol
Structure: optimized geometry

CIF file:
```
data_P2IrSe
_cell_length_a 4.613
_cell_length_b 3.306
_cell_length_c 4.665
_cell_angle_alpha 90.00
_cell_angle_beta 116.59
_cell_angle_gamma 90.00
_space_group_name_H-M_alt 'P 1 2/m 1'
_space_group_IT_number 10
_space_group_name_Hall '-P 2y'
loop_
_atom_site_label
_atom_site_fract_x
_atom_site_fract_y
_atom_site_fract_z
P1 0.228 0.000 0.292
Ir1 0.000 0.500 0.500
Se1 0.500 0.500 0.000
```

Properties
crystal system = monoclinic
E_tot = -6.40 eV/atom
DOS at the Fermi energy = 1.74 states/eV/cell
spin magnetization = 0.00 μB per formula unit

---

(3)
Compound: HfSbI2O
Source: Alexandria
Functional: PBEsol
Structure: optimized geometry

CIF file:
```
data_HfSbI2O
_cell_length_a 5.510
_cell_length_b 5.510
_cell_length_c 5.557
_cell_angle_alpha 90.00
_cell_angle_beta 90.00
_cell_angle_gamma 90.00
_space_group_name_H-M_alt 'P 4/m m m'
_space_group_IT_number 123
_space_group_name_Hall '-P 4 2'
loop_
_atom_site_label
_atom_site_fract_x
_atom_site_fract_y
_atom_site_fract_z
Hf1 0.000 0.000 0.000
Sb1 0.000 0.000 0.500
I1 0.000 0.500 0.000
O1 0.500 0.500 0.500
```

Properties
crystal system = tetragonal
E_tot = -4.33 eV/atom
DOS at the Fermi energy = 6.19 states/eV/cell
spin magnetization = 1.66 μB per formula unit